# 1
Entry from the Alexandria database: a relaxed structure of Re3RhCl (GGA-PBE).

Values from the calculation:
Calculated density in g/cm3: 14.5
Total magnetic moment in μB/f.u.: 0.00
Final energy in hartree per atom: -0.283
Space group: Pm-3m, No. 221
E_form (uncorrected) in eV/atom: 1.62
Distance to the lowest polymorph of the same formula in meV per atom: 0

```
Re3RhCl
1.0
4.3063 0.0000 0.0000
0.0000 4.3063 0.0000
0.0000 0.0000 4.3063
Cl Re Rh
1 3 1
Direct
0.0000 0.0000 0.0000
0.0000 0.0000 0.5000
0.0000 0.5000 0.0000
0.5000 0.0000 0.0000
0.5000 0.5000 0.5000
```


# 2
Entry from the Alexandria database: a relaxed structure of Sm6Dy2Tm (GGA-PBE).

Values from the calculation:
Calculated density in g/cm3: 7.9
Total magnetic moment in μB/f.u.: 0.00
Final energy in hartree per atom: -0.171
Space group: P4_2/mnm, No. 136
Distance to the lowest polymorph of the same formula in meV per atom: 0
Formation enthalpy at 0 K in eV/f.u.: 0.157

```
Sm6Dy2Tm
1.0
-2.2072 0.2733 4.5753
-7.2812 -7.3145 -3.0757
6.4132 -7.8828 3.5652
Sm Tm Dy
12 2 4
Direct
0.5000 0.1681 0.0006
0.0000 0.3345 0.1656
0.9999 0.9995 0.1680
0.0001 0.0005 0.8320
0.0000 0.6680 0.4994
0.5000 0.1656 0.6657
0.0000 0.6655 0.8344
0.5001 0.4996 0.3318
0.4999 0.5004 0.6682
0.5000 0.8319 0.9994
0.0000 0.3320 0.5006
0.5000 0.8344 0.3343
0.5000 0.5000 0.0000
0.0000 0.0000 0.5000
0.5000 0.1662 0.3339
0.0000 0.3339 0.8340
0.0000 0.6661 0.1660
0.5000 0.8338 0.6661
```


# 3
Entry from the Alexandria database: a relaxed structure of CeTmNb (GGA-PBE).

Values from the calculation:
Calculated density in g/cm3: 8.4
Total magnetic moment in μB/f.u.: 0.52
Final energy in hartree per atom: -0.243
Space group: C2/m, No. 12
Formation enthalpy at 0 K in eV/f.u.: 0.609

```
CeTmNb
1.0
-1.0674 -4.6226 -1.7897
1.2332 -2.0613 4.5886
-5.3311 3.1585 2.2045
Ce Tm Nb
2 2 2
Direct
0.6046 0.7462 0.2093
0.3954 0.2538 0.7907
0.8948 0.7017 0.7896
0.1052 0.2983 0.2104
0.7436 0.1477 0.4873
0.2564 0.8523 0.5127
```


# 4
Entry from the Alexandria database: a relaxed structure of SrCa5Bi6 (GGA-PBE).

Values from the calculation:
Calculated density in g/cm3: 6.7
Total magnetic moment in μB/f.u.: 0.00
Final energy in hartree per atom: -0.134
Space group: P2/m, No. 10
Formation enthalpy at 0 K in eV/f.u.: -8.682

```
SrCa5Bi6
1.0
-0.7600 1.1607 5.5829
-4.1666 -6.6086 0.8068
7.3242 -4.5647 0.4343
Bi Ca Sr
6 5 1
Direct
0.5000 0.7441 0.0000
0.1537 0.7473 0.3482
0.8463 0.2527 0.6518
0.1537 0.2527 0.3482
0.5000 0.2559 0.0000
0.8463 0.7473 0.6518
0.3503 0.5000 0.6746
0.6478 0.0000 0.3273
0.6497 0.5000 0.3254
0.0000 0.5000 0.0000
0.3522 0.0000 0.6727
0.0000 0.0000 0.0000
```


# 5
Entry from the Alexandria database: a relaxed structure of Mn5GaRh6 (GGA-PBE).

Values from the calculation:
Calculated density in g/cm3: 9.5
Total magnetic moment in μB/f.u.: 20.31
Final energy in hartree per atom: -0.295
Space group: Immm, No. 71
Formation enthalpy at 0 K in eV/f.u.: -3.475

```
Mn5GaRh6
1.0
-3.9189 1.1297 -1.3250
3.3097 -3.3744 -5.7307
-0.8705 -3.6049 6.4365
Rh Ga Mn
6 1 5
Direct
0.7501 0.5827 0.9176
0.2499 0.0824 0.4173
0.7504 0.2504 0.2504
0.2496 0.7496 0.7496
0.2499 0.4173 0.0824
0.7501 0.9176 0.5827
0.0000 0.0000 0.0000
0.0000 0.6659 0.3341
0.5000 0.1660 0.8340
0.5000 0.5000 0.5000
0.0000 0.3341 0.6659
0.5000 0.8340 0.1660
```


# 6
Entry from the Alexandria database: a relaxed structure of CdAgHg2 (GGA-PBE).

Values from the calculation:
Calculated density in g/cm3: 11.8
Total magnetic moment in μB/f.u.: 0.00
Final energy in hartree per atom: -0.038
Space group: Pm, No. 6
Formation enthalpy at 0 K in eV/f.u.: 0.231

```
CdAgHg2
1.0
5.3910 0.0000 0.0000
0.0000 3.0289 -0.3477
0.0000 0.6092 5.2894
Hg Cd Ag
2 1 1
Direct
0.0000 0.8724 0.0315
0.5000 0.3784 0.2203
0.5000 0.8760 0.7106
0.0000 0.3731 0.5377
```


# 7
Entry from the Alexandria database: a relaxed structure of BaTlAsF6 (GGA-PBE).

Values from the calculation:
Calculated density in g/cm3: 5.6
Total magnetic moment in μB/f.u.: 0.00
Final energy in hartree per atom: -0.179
Space group: P1, No. 1
E_form (uncorrected) in eV/atom: -2.63

```
BaTlAsF6
1.0
6.5631 0.0141 0.0059
3.2955 5.6574 0.0207
0.0072 -0.0100 4.2431
F Ba Tl As
6 1 1 1
Direct
0.2749 0.5891 0.3320
0.5893 0.1355 0.3321
0.6259 0.4243 0.7660
0.9516 0.6228 0.7644
0.4225 0.9545 0.7651
0.1384 0.2757 0.3304
0.6656 0.6664 0.2659
0.9990 0.9987 0.8482
0.3326 0.3330 0.5958
```


# 8
Entry from the Alexandria database: a relaxed structure of Mn2TlRu (GGA-PBE).

Values from the calculation:
Calculated density in g/cm3: 10.4
Total magnetic moment in μB/f.u.: 7.51
Final energy in hartree per atom: -0.263
Space group: P4/mmm, No. 123
Distance to the lowest polymorph of the same formula in meV per atom: 0
Formation enthalpy at 0 K in eV/f.u.: 1.375

```
Mn2TlRu
1.0
-3.0941 0.4916 -0.3518
0.2486 -0.6405 -3.0768
-1.1623 -6.4253 1.2438
Mn Ru Tl
2 1 1
Direct
0.0000 0.0000 0.4611
0.0000 0.0000 0.0389
0.5000 0.5000 0.2500
0.5000 0.5000 0.7500
```


# 9
Entry from the Alexandria database: a relaxed structure of LiPtW2N (GGA-PBE).

Values from the calculation:
Calculated density in g/cm3: 14.7
Total magnetic moment in μB/f.u.: 0.00
Final energy in hartree per atom: -0.318
Space group: P4/mmm, No. 123
E_form (uncorrected) in eV/atom: -0.22

```
LiPtW2N
1.0
4.0515 0.0000 0.0000
0.0000 4.0515 0.0000
0.0000 0.0000 4.0306
Pt W N Li
1 2 1 1
Direct
0.5000 0.5000 0.5000
0.0000 0.5000 0.0000
0.5000 0.0000 0.0000
0.0000 0.0000 0.0000
0.0000 0.0000 0.5000
```


# 10
Entry from the Alexandria database: a relaxed structure of GdHoInSn (GGA-PBE).

Values from the calculation:
Calculated density in g/cm3: 8.5
Total magnetic moment in μB/f.u.: 7.06
Final energy in hartree per atom: -0.252
Space group: F-43m, No. 216
Formation enthalpy at 0 K in eV/f.u.: -2.071

```
GdHoInSn
1.0
-0.2331 -4.0442 -3.4870
3.4900 -0.2492 -4.0407
3.8148 -3.7438 -0.0094
In Gd Sn Ho
1 1 1 1
Direct
0.5000 0.5000 0.5000
0.7500 0.7500 0.7500
0.0000 0.0000 0.0000
0.2500 0.2500 0.2500
```


# 11
Entry from the Alexandria database: a relaxed structure of TaTiMo3W (GGA-PBE).

Values from the calculation:
Calculated density in g/cm3: 11.3
Total magnetic moment in μB/f.u.: 0.00
Final energy in hartree per atom: -0.384
Space group: C2/c, No. 15
Formation enthalpy at 0 K in eV/f.u.: 2.506

```
TaTiMo3W
1.0
-1.9801 4.3980 0.0036
-4.5174 2.6449 -4.7032
-8.1232 -1.3213 1.7946
Ti Ta Mo W
2 2 6 2
Direct
0.7500 0.7391 0.5219
0.2500 0.2609 0.4781
0.2500 0.5993 0.8015
0.7500 0.4007 0.1985
0.9955 0.3414 0.8195
0.4955 0.1609 0.1805
0.0045 0.6586 0.1805
0.2500 0.7829 0.4341
0.7500 0.2171 0.5659
0.5045 0.8391 0.8195
0.7500 0.0515 0.8970
0.2500 0.9485 0.1030
```


# 12
Entry from the Alexandria database: a relaxed structure of MoIr2Cl (GGA-PBE).

Values from the calculation:
Calculated density in g/cm3: 10.5
Total magnetic moment in μB/f.u.: 0.00
Final energy in hartree per atom: -0.269
Space group: Cm, No. 8
E_form (uncorrected) in eV/atom: 0.28
Distance to the lowest polymorph of the same formula in meV per atom: 72

```
MoIr2Cl
1.0
4.6318 -0.0078 -0.3129
3.7716 2.6886 -0.3129
0.1833 0.0585 6.5308
Ir Mo Cl
2 1 1
Direct
0.1036 0.1036 0.9063
0.8131 0.8131 0.7365
0.5310 0.5310 0.5819
0.0524 0.0524 0.2752
```


# 13
Entry from the Alexandria database: a relaxed structure of Na2MgAuO4 (GGA-PBE).

Values from the calculation:
Calculated density in g/cm3: 5.2
Total magnetic moment in μB/f.u.: 1.02
Final energy in hartree per atom: -0.159
Space group: I-42m, No. 121
E_form (uncorrected) in eV/atom: -0.91

```
Na2MgAuO4
1.0
-1.4068 2.3228 -5.1938
3.0243 -0.1520 -4.1940
-2.5003 -2.5254 -3.7590
Na Mg Au O
2 1 1 4
Direct
0.0000 0.5000 0.5000
0.5000 0.5000 0.5000
0.0000 0.0000 0.0000
0.5000 0.0000 0.0000
0.5972 0.0000 0.3287
0.4028 0.6713 0.0000
0.0741 0.3287 0.0000
0.9259 0.0000 0.6713
```


# 14
Entry from the Alexandria database: a relaxed structure of CoMoRh4 (GGA-PBE).

Values from the calculation:
Calculated density in g/cm3: 10.5
Total magnetic moment in μB/f.u.: 1.96
Final energy in hartree per atom: -0.277
Space group: F-43m, No. 216
Distance to the lowest polymorph of the same formula in meV per atom: 373
Formation enthalpy at 0 K in eV/f.u.: 2.076

```
CoMoRh4
1.0
0.0000 3.5568 3.5568
3.5568 0.0000 3.5568
3.5568 3.5568 0.0000
Rh Co Mo
4 1 1
Direct
0.8740 0.3753 0.3753
0.3753 0.3753 0.3753
0.3753 0.8740 0.3753
0.3753 0.3753 0.8740
0.7500 0.7500 0.7500
0.0000 0.0000 0.0000
```


# 15
Entry from the Alexandria database: a relaxed structure of CeHoPuO6 (GGA-PBE).

Values from the calculation:
Calculated density in g/cm3: 7.9
Total magnetic moment in μB/f.u.: 3.04
Final energy in hartree per atom: -0.337
Space group: P-31c, No. 163
E_form (uncorrected) in eV/atom: -3.12

```
CeHoPuO6
1.0
5.7427 0.0000 0.0000
-2.8713 4.9733 0.0000
0.0000 0.0000 9.5106
Pu O Ho Ce
2 12 2 2
Direct
0.3333 0.6667 0.7500
0.6667 0.3333 0.2500
0.3493 0.0184 0.1324
0.6507 0.6691 0.6324
0.6691 0.0184 0.3676
0.6691 0.6507 0.1324
0.0184 0.6691 0.8676
0.9816 0.3309 0.1324
0.3309 0.3493 0.8676
0.0184 0.3493 0.6324
0.3493 0.3309 0.3676
0.9816 0.6507 0.3676
0.6507 0.9816 0.8676
0.3309 0.9816 0.6324
0.6667 0.3333 0.7500
0.3333 0.6667 0.2500
0.0000 0.0000 0.0000
0.0000 0.0000 0.5000
```


# 16
Entry from the Alexandria database: a relaxed structure of Tm5H2Pb5 (GGA-PBE).

Values from the calculation:
Calculated density in g/cm3: 11.0
Total magnetic moment in μB/f.u.: 0.00
Final energy in hartree per atom: -0.161
Space group: C2/m, No. 12

```
Tm5H2Pb5
1.0
4.3470 0.0000 0.0000
-2.1735 5.6652 0.7043
0.0000 -1.8248 11.3008
Pb Tm H
5 5 2
Direct
0.2210 0.4420 0.6115
0.5000 0.0000 0.5000
0.6522 0.3044 0.1170
0.7790 0.5580 0.3885
0.3478 0.6956 0.8830
0.3509 0.7019 0.1849
0.6491 0.2981 0.8151
0.0000 0.0000 0.0000
0.9345 0.8690 0.6883
0.0655 0.1310 0.3117
0.9263 0.8526 0.1733
0.0737 0.1474 0.8267
```


# 17
Entry from the Alexandria database: a relaxed structure of Ac5Ni2Sb (GGA-PBE).

Values from the calculation:
Calculated density in g/cm3: 8.9
Total magnetic moment in μB/f.u.: 0.00
Final energy in hartree per atom: -0.181
Space group: I4/mcm, No. 140
E_form (uncorrected) in eV/atom: -0.39

```
Ac5Ni2Sb
1.0
-0.5466 7.1832 4.4319
-7.7872 1.2838 -3.0413
1.3954 -7.8745 4.8641
Ac Ni Sb
10 4 2
Direct
0.4794 0.2933 0.2728
0.2067 0.0206 0.7272
0.2933 0.7933 0.2728
0.9794 0.4794 0.2728
0.5000 0.5000 0.0000
0.0000 0.0000 0.0000
0.7933 0.9794 0.2728
0.0206 0.5206 0.7272
0.5206 0.7067 0.7272
0.7067 0.2067 0.7272
0.3612 0.8612 0.0000
0.6388 0.1388 0.0000
0.8612 0.6388 0.0000
0.1388 0.3612 0.0000
0.7500 0.7500 0.5000
0.2500 0.2500 0.5000
```


# 18
Entry from the Alexandria database: a relaxed structure of K4HfSc3S8 (GGA-PBE).

Values from the calculation:
Calculated density in g/cm3: 3.3
Total magnetic moment in μB/f.u.: 0.00
Final energy in hartree per atom: -0.214
Space group: R-3m, No. 166
E_form (uncorrected) in eV/atom: -1.69

```
K4HfSc3S8
1.0
7.6201 0.0000 0.0000
0.0000 8.5253 0.6332
-3.8100 -3.8059 5.3911
S K Sc Hf
8 4 3 1
Direct
0.7709 0.3054 0.5418
0.2291 0.6946 0.4582
0.2636 0.3054 0.0345
0.2291 0.6946 0.9655
0.7709 0.3054 0.0345
0.7364 0.6946 0.9655
0.2688 0.3065 0.5376
0.7312 0.6935 0.4624
0.0000 0.0000 0.0000
0.5000 0.0000 0.5000
0.0000 0.0000 0.5000
0.5000 0.0000 0.0000
0.5000 0.5000 0.5000
0.5000 0.5000 0.0000
0.0000 0.5000 0.5000
0.0000 0.5000 0.0000
```


# 19
Entry from the Alexandria database: a relaxed structure of Np3Au (GGA-PBE).

Values from the calculation:
Calculated density in g/cm3: 18.9
Total magnetic moment in μB/f.u.: 1.41
Final energy in hartree per atom: -0.368
Space group: P6_3/mmc, No. 194
Distance to the lowest polymorph of the same formula in meV per atom: 199
Formation enthalpy at 0 K in eV/f.u.: 2.030

```
Np3Au
1.0
-0.5030 6.7090 -0.4495
-4.5951 -3.9327 -2.9807
-2.2400 0.0583 3.3763
Np Au
6 2
Direct
0.8508 0.7015 0.7500
0.1492 0.8508 0.2500
0.1492 0.2985 0.2500
0.2985 0.1492 0.7500
0.7015 0.8508 0.2500
0.8508 0.1492 0.7500
0.3333 0.6667 0.7500
0.6667 0.3333 0.2500
```


# 20
Entry from the Alexandria database: a relaxed structure of LaSmEuY (GGA-PBE).

Values from the calculation:
Calculated density in g/cm3: 6.1
Total magnetic moment in μB/f.u.: 7.78
Final energy in hartree per atom: -0.238
Space group: F-43m, No. 216
Formation enthalpy at 0 K in eV/f.u.: 0.512

```
LaSmEuY
1.0
-4.0039 1.6882 3.9643
-5.4930 -2.0820 -0.2977
-1.9232 -3.8128 4.0448
La Eu Y Sm
1 1 1 1
Direct
0.5000 0.5000 0.5000
0.2500 0.2500 0.2500
0.7500 0.7500 0.7500
0.0000 0.0000 0.0000
```


# 21
Entry from the Alexandria database: a relaxed structure of Cs3K5Na2 (GGA-PBE).

Values from the calculation:
Calculated density in g/cm3: 1.4
Total magnetic moment in μB/f.u.: 0.00
Final energy in hartree per atom: -0.038
Space group: Ibam, No. 72
Distance to the lowest polymorph of the same formula in meV per atom: 14
Formation enthalpy at 0 K in eV/f.u.: 0.301

```
Cs3K5Na2
1.0
-1.2005 -7.6934 4.2993
12.8663 -5.3400 3.2377
3.4146 2.0054 13.7426
Cs K Na
6 10 4
Direct
0.3263 0.3893 0.9580
0.8263 0.9580 0.3893
0.7500 0.0000 0.0000
0.6737 0.6107 0.0420
0.2500 0.0000 0.0000
0.1737 0.0420 0.6107
0.5633 0.2128 0.6607
0.4367 0.7872 0.3393
0.5601 0.6899 0.6899
0.7500 0.5000 0.5000
0.4399 0.3101 0.3101
0.0601 0.6899 0.6899
0.0633 0.6607 0.2128
0.2500 0.5000 0.5000
0.9367 0.3393 0.7872
0.9399 0.3101 0.3101
0.3312 0.0937 0.2439
0.6688 0.9063 0.7561
0.1688 0.7561 0.9063
0.8312 0.2439 0.0937
```


# 22
Entry from the Alexandria database: a relaxed structure of Pm12TmGe7 (GGA-PBE).

Values from the calculation:
Calculated density in g/cm3: 6.2
Total magnetic moment in μB/f.u.: 2.76
Final energy in hartree per atom: -0.188
Space group: R-3, No. 148
Formation enthalpy at 0 K in eV/f.u.: -8.713

```
Pm12TmGe7
1.0
9.2655 -0.1463 -0.2196
-2.7169 8.8595 -0.2196
-2.7169 -3.6149 8.0914
Pm Ge Tm
12 7 1
Direct
0.3877 0.4684 0.1547
0.7739 0.9287 0.3063
0.2261 0.0713 0.6937
0.3063 0.7739 0.9287
0.1547 0.3877 0.4684
0.6937 0.2261 0.0713
0.8453 0.6123 0.5316
0.5316 0.8453 0.6123
0.6123 0.5316 0.8453
0.0713 0.6937 0.2261
0.9287 0.3063 0.7739
0.4684 0.1547 0.3877
0.3511 0.1208 0.0417
0.1208 0.0417 0.3511
0.8792 0.9583 0.6489
0.0417 0.3511 0.1208
0.9583 0.6489 0.8792
0.6489 0.8792 0.9583
0.5000 0.5000 0.5000
0.0000 0.0000 0.0000
```